# 1
# PBE Mo2HRh2, optimized geometry
data_Mo2HRh2
_symmetry_space_group_name_H-M 'P 4/m m m'
_symmetry_Int_Tables_number 123
_symmetry_space_group_name_Hall '-P 4 2'
_cell_length_a 3.948
_cell_length_b 3.948
_cell_length_c 3.956
_cell_angle_alpha 90.00
_cell_angle_beta 90.00
_cell_angle_gamma 90.00
loop_
_atom_site_label
_atom_site_type_symbol
_atom_site_fract_x
_atom_site_fract_y
_atom_site_fract_z
Mo1 Mo 0.000 0.500 0.000
H1 H 0.000 0.000 0.000
Rh1 Rh 0.000 0.000 0.500
Rh2 Rh 0.500 0.500 0.500
# E_tot (eV per atom): -8.042


# 2
# PBE SmZnGaPd, optimized geometry
data_SmZnGaPd
_symmetry_space_group_name_H-M 'F -4 3 m'
_symmetry_Int_Tables_number 216
_symmetry_space_group_name_Hall 'F -4 2 3'
_cell_length_a 6.723
_cell_length_b 6.723
_cell_length_c 6.723
_cell_angle_alpha 90.00
_cell_angle_beta 90.00
_cell_angle_gamma 90.00
loop_
_atom_site_label
_atom_site_type_symbol
_atom_site_fract_x
_atom_site_fract_y
_atom_site_fract_z
Sm1 Sm 0.000 0.000 0.000
Zn1 Zn 0.250 0.250 0.250
Ga1 Ga 0.000 0.000 0.500
Pd1 Pd 0.250 0.250 0.750
# Formation energy from the elements (meV per atom): -548


# 3
# PBE KMgAs2, optimized geometry
data_KMgAs2
_symmetry_space_group_name_H-M 'P 1 2/m 1'
_symmetry_Int_Tables_number 10
_symmetry_space_group_name_Hall '-P 2y'
_cell_length_a 3.708
_cell_length_b 3.804
_cell_length_c 7.078
_cell_angle_alpha 90.00
_cell_angle_beta 90.13
_cell_angle_gamma 90.00
loop_
_atom_site_label
_atom_site_type_symbol
_atom_site_fract_x
_atom_site_fract_y
_atom_site_fract_z
K1 K 0.000 0.000 0.000
Mg1 Mg 0.000 0.000 0.500
As1 As 0.499 0.500 0.328
# Formation energy from the elements (meV per atom): -365


# 4
# PBE SiGeAu3, optimized geometry
data_SiGeAu3
_symmetry_space_group_name_H-M 'P m -3 m'
_symmetry_Int_Tables_number 221
_symmetry_space_group_name_Hall '-P 4 2 3'
_cell_length_a 4.869
_cell_length_b 4.869
_cell_length_c 4.869
_cell_angle_alpha 90.00
_cell_angle_beta 90.00
_cell_angle_gamma 90.00
loop_
_atom_site_label
_atom_site_type_symbol
_atom_site_fract_x
_atom_site_fract_y
_atom_site_fract_z
Si1 Si 0.000 0.000 0.000
Ge1 Ge 0.500 0.500 0.500
Au1 Au 0.000 0.500 0.500
# Uncorrected formation energy (eV per atom): 0.68
# Offset from the most stable computed form (meV/atom): 599.2


Number 2 is which compound?
SmZnGaPd